No. 1
4
Lattice="1.382 0.798 8.919 -1.382 0.798 8.919 0.000 -1.595 8.919" Properties=species:S:1:pos:R:3 comment="ZnTc (PBE, relaxed)" relative_energy_ev_per_fu=0.07 ef_ev_per_atom=-0.006 final_energy_ev_per_fu=-11.65 dos_at_fermi_per_ev_atom=0.575 spacegroup="R-3m, No. 166" pbc="T T T"
Zn 0.000 0.000 3.302
Zn 0.000 0.000 23.454
Tc 0.000 0.000 9.949
Tc 0.000 0.000 16.808


No. 2
5
Lattice="4.831 0.000 0.000 0.000 4.831 0.000 0.000 0.000 4.679" Properties=species:S:1:pos:R:3 comment="Tb2TmTlO (PBE, relaxed)" final_energy_ev_per_fu=-27.81 dos_at_fermi_per_ev_atom=0.368 spacegroup="P4/mmm, No. 123" pbc="T T T"
Tb 0.000 2.416 0.000
Tb 2.416 0.000 0.000
Tm 0.000 0.000 2.340
Tl 2.416 2.416 2.340
O 0.000 0.000 0.000